Here is an optimized crystal structure of RbFeO2 from Alexandria via LeMat-Bulk. Energies are from GGA+U.

a = 6.021 Å, b = 6.021 Å, c = 6.021 Å
α = 90.00°, β = 90.00°, γ = 90.00°
Space group Fm-3m (No. 225)
Unique sites:
Rb (0.000, 0.000, 0.000) (multiplicity 4)
Fe (0.000, 0.000, 0.500) (multiplicity 4)
O (0.250, 0.250, 0.250) (multiplicity 8)

Values from the calculation:
Volume = 218.2 Å³/cell
Uncorrected energy = -4.206 eV per atom